1.
DFT (PBE-GGA) results for a geometry-optimized Re2As structure. Values from VASP.

```
&SYSTEM
  ibrav = 0, nat = 12, ntyp = 2
/
ATOMIC_SPECIES
Re 186.21 Re.upf
As 74.92 As.upf
ATOMIC_POSITIONS angstrom
Re 15.8454 4.3253 0.0000
Re 4.9652 1.3553 0.0000
Re -0.1504 1.4855 1.4727
Re 9.7801 4.1962 1.4727
Re 12.3182 3.3624 0.0000
Re 8.4924 2.3181 0.0000
Re 7.5034 0.5216 1.4727
Re 3.6776 -0.5227 1.4727
As 19.2842 5.2639 0.0000
As 1.5264 0.4167 0.0000
As 3.2884 2.4242 1.4727
As 6.3413 3.2575 1.4727
CELL_PARAMETERS angstrom
11.1809 -0.0011 0.0000
9.6297 5.6817 0.0000
-10.4053 -2.8403 2.9454
```

Summary:
formation energy from the elements	0.4635	eV per atom
space group	I4_1/amd (141)
density of states at the Fermi level	8.7	states/eV per cell
total magnetic moment	0.0	μB/cell

=====

2.
DFT (PBE-GGA) results for a geometry-optimized KLaCo2 structure. Values from VASP.

```
&SYSTEM
  ibrav = 0, nat = 4, ntyp = 3
/
ATOMIC_SPECIES
Co 58.93 Co.upf
K 39.10 K.upf
La 138.91 La.upf
ATOMIC_POSITIONS angstrom
Co 0.1003 -0.3980 -0.6917
Co -1.1018 -2.1163 -0.0271
K 1.6914 -3.3725 -1.6535
La 1.8598 -7.7437 -2.0903
CELL_PARAMETERS angstrom
-3.3801 -2.0268 0.6761
0.2129 -1.6590 -3.9089
3.7404 -6.0768 0.4832
```

Summary:
formation energy from the elements	0.3835	eV per atom
energy relative to the lowest polymorph listed for this composition	163	meV/atom
space group	Pm (6)
density of states at the Fermi level	3.8	states/eV per cell
total magnetic moment	1.3	μB/cell

=====

3.
DFT (PBE-GGA) results for a geometry-optimized Pm2Zn16Ni structure. Values from VASP.

```
&SYSTEM
  ibrav = 0, nat = 19, ntyp = 3
/
ATOMIC_SPECIES
Pm 145.00 Pm.upf
Zn 65.41 Zn.upf
Ni 58.69 Ni.upf
ATOMIC_POSITIONS angstrom
Pm 1.0735 -2.8395 8.2764
Pm 0.5421 -1.4339 4.1795
Zn -1.9669 -3.8975 8.2798
Zn 1.7296 0.1746 9.1974
Zn 3.4482 -4.7701 7.2780
Zn -1.7148 -1.4496 9.0869
Zn 3.8190 -1.1692 8.4653
Zn 1.1067 -5.8742 7.2029
Zn -0.6351 -4.1942 5.8865
Zn -0.2085 -0.0512 7.2526
Zn 3.3278 -2.3255 6.0136
Zn 2.2703 -0.0298 6.5348
Zn 1.8364 -4.2443 5.1452
Zn -1.7609 -1.9307 6.4055
Zn 2.7888 -1.5561 10.8163
Zn 2.3660 -5.6612 9.4628
Zn -1.1379 -3.4077 10.6904
Zn 0.1543 -0.4082 1.1897
Ni 1.4491 -3.8329 11.1720
CELL_PARAMETERS angstrom
-1.5908 2.9713 5.9130
-2.4661 -5.5288 3.1103
5.6645 -1.6948 3.3711
```

Summary:
formation energy from the elements	-0.2534	eV per atom
space group	R3m (160)
density of states at the Fermi level	7.8	states/eV per cell
total magnetic moment	0.0	μB/cell

=====

4.
DFT (PBE-GGA) results for a geometry-optimized Mg2CuCl structure. Values from VASP.

```
&SYSTEM
  ibrav = 0, nat = 4, ntyp = 3
/
ATOMIC_SPECIES
Cl 35.45 Cl.upf
Cu 63.55 Cu.upf
Mg 24.30 Mg.upf
ATOMIC_POSITIONS angstrom
Cl 0.0000 0.8546 1.9090
Cu 2.5514 2.3343 4.4531
Mg 0.0000 0.7690 4.4608
Mg 2.5514 0.7548 1.9073
CELL_PARAMETERS angstrom
5.1028 0.0000 0.0000
0.0000 3.0979 -0.0175
0.0000 0.0263 5.1026
```

Summary:
energy relative to the lowest polymorph listed for this composition	243	meV/atom
space group	P4mm (99)
density of states at the Fermi level	2.7	states/eV per cell
ΔE_f (raw)	-0.2857	eV/atom
total magnetic moment	0.0	μB/cell

=====

no.,electronic total energy (eV per atom)
1,-9.39
2,-4.68
3,-2.13
4,-2.57